{
  "formula": "GaCu6Ge",
  "functional": "PBE",
  "state": "optimized geometry",
  "dos_ef_per_ev_fu": 2.0,
  "space_group": "C2/m (12)",
  "relative_energy_mev_per_atom": 108,
  "dft_energy_ev_per_atom": -3.964,
  "total_magnetization_mub_per_cell": 0.000,
  "lattice_angstrom": [[4.305, 0.545, -0.032], [0.867, 4.252, -0.032], [1.438, 1.334, 6.352]],
  "species": ["Cu", "Cu", "Cu", "Cu", "Cu", "Cu", "Ge", "Ga"],
  "fractional_positions": [[0.061, 0.546, 0.302], [0.939, 0.454, 0.698], [0.363, 0.363, 0.928], [0.454, 0.939, 0.698], [0.546, 0.061, 0.302], [0.637, 0.637, 0.072], [0.500, 0.500, 0.500], [0.000, 0.000, 0.000]]
}